# AgPRh2 (PBE-GGA, optimized geometry)
data_AgPRh2
_chemical_formula_sum 'Ag1 P1 Rh2'
_cell_length_a 2.814
_cell_length_b 3.788
_cell_length_c 5.918
_cell_angle_alpha 90.00
_cell_angle_beta 90.00
_cell_angle_gamma 90.00
_symmetry_space_group_name_H-M 'P m m 2'
_symmetry_Int_Tables_number 25
loop_
_symmetry_equiv_pos_as_xyz
'x,y,z'
'-x,-y,z'
'-x,y,z'
'x,-y,z'
loop_
_atom_site_label
_atom_site_fract_x
_atom_site_fract_y
_atom_site_fract_z
_atom_site_occupancy
Ag1 0.000 0.000 0.000 1
P1 0.500 0.500 0.368 1
Rh1 0.000 0.000 0.478 1
Rh2 0.500 0.500 0.746 1
# Calculated formation energy ... 0.00 eV/atom
# Density ... 9.1 g/cm³

=====

# Tm2AlCu2 (PBE-GGA, optimized geometry)
data_Tm2AlCu2
_chemical_formula_sum 'Tm8 Al4 Cu8'
_cell_length_a 9.444
_cell_length_b 5.453
_cell_length_c 7.762
_cell_angle_alpha 90.00
_cell_angle_beta 103.81
_cell_angle_gamma 90.00
_symmetry_space_group_name_H-M 'C 1 2/c 1'
_symmetry_Int_Tables_number 15
loop_
_symmetry_equiv_pos_as_xyz
'x,y,z'
'-x,-y,-z'
'-x,y,-z+1/2'
'x,-y,z+1/2'
'x+1/2,y+1/2,z'
'-x+1/2,-y+1/2,-z'
'-x+1/2,y+1/2,-z+1/2'
'x+1/2,-y+1/2,z+1/2'
loop_
_atom_site_label
_atom_site_fract_x
_atom_site_fract_y
_atom_site_fract_z
_atom_site_occupancy
Tm1 0.149 0.144 0.151 1
Al1 0.000 0.348 0.750 1
Cu1 0.135 0.364 0.499 1
# Calculated formation energy ... -0.38 eV/atom
# Density ... 8.4 g/cm³

=====

# P2IrSO (PBE-GGA, optimized geometry)
data_P2IrSO
_chemical_formula_sum 'P2 Ir1 S1 O1'
_cell_length_a 4.757
_cell_length_b 4.757
_cell_length_c 3.717
_cell_angle_alpha 90.00
_cell_angle_beta 90.00
_cell_angle_gamma 90.00
_symmetry_space_group_name_H-M 'P 4/m m m'
_symmetry_Int_Tables_number 123
_symmetry_space_group_name_Hall '-P 4 2'
loop_
_atom_site_label
_atom_site_fract_x
_atom_site_fract_y
_atom_site_fract_z
_atom_site_occupancy
P1 0.000 0.500 0.000 1
Ir1 0.000 0.000 0.000 1
S1 0.500 0.500 0.500 1
O1 0.000 0.000 0.500 1
# Uncorrected formation energy ... 0.3892 eV per atom
# Density ... 6.0 g/cm³

=====

# Li4Zn5Ag2 (PBE-GGA, optimized geometry)
data_Li4Zn5Ag2
_chemical_formula_sum 'Li8 Zn10 Ag4'
_cell_length_a 14.068
_cell_length_b 4.978
_cell_length_c 5.371
_cell_angle_alpha 90.00
_cell_angle_beta 106.25
_cell_angle_gamma 90.00
_symmetry_space_group_name_H-M 'C 1 2/m 1'
_symmetry_Int_Tables_number 12
loop_
_symmetry_equiv_pos_as_xyz
'x,y,z'
'-x,-y,-z'
'-x,y,-z'
'x,-y,z'
'x+1/2,y+1/2,z'
'-x+1/2,-y+1/2,-z'
'-x+1/2,y+1/2,-z'
'x+1/2,-y+1/2,z'
loop_
_atom_site_label
_atom_site_fract_x
_atom_site_fract_y
_atom_site_fract_z
_atom_site_occupancy
Li1 0.100 0.000 0.443 1
Li2 0.242 0.500 0.846 1
Zn1 0.000 0.500 0.500 1
Zn2 0.080 0.246 0.921 1
Ag1 0.197 0.500 0.340 1
# Calculated formation energy ... -0.13 eV/atom
# Density ... 5.2 g/cm³

=====

# Er6AgTe5 (PBE-GGA, optimized geometry)
data_Er6AgTe5
_chemical_formula_sum 'Er12 Ag2 Te10'
_cell_length_a 7.491
_cell_length_b 12.949
_cell_length_c 7.473
_cell_angle_alpha 90.00
_cell_angle_beta 109.49
_cell_angle_gamma 90.00
_symmetry_space_group_name_H-M 'C 1 2/m 1'
_symmetry_Int_Tables_number 12
loop_
_symmetry_equiv_pos_as_xyz
'x,y,z'
'-x,-y,-z'
'-x,y,-z'
'x,-y,z'
'x+1/2,y+1/2,z'
'-x+1/2,-y+1/2,-z'
'-x+1/2,y+1/2,-z'
'x+1/2,-y+1/2,z'
loop_
_atom_site_label
_atom_site_fract_x
_atom_site_fract_y
_atom_site_fract_z
_atom_site_occupancy
Er1 0.229 0.000 0.256 1
Er2 0.232 0.157 0.733 1
Ag1 0.000 0.000 0.500 1
Te1 0.000 0.178 0.000 1
Te2 0.000 0.337 0.500 1
Te3 0.000 0.500 0.000 1
# Uncorrected formation energy ... -1.0811 eV per atom
# Density ... 8.5 g/cm³

=====

# Nd2InCu9 (PBE-GGA, optimized geometry)
data_Nd2InCu9
_chemical_formula_sum 'Nd6 In3 Cu27'
_cell_length_a 5.1494
_cell_length_b 5.1494
_cell_length_c 25.3770
_cell_angle_alpha 90.00
_cell_angle_beta 90.00
_cell_angle_gamma 120.00
_symmetry_space_group_name_H-M 'R -3 m'
_symmetry_Int_Tables_number 166
_symmetry_space_group_name_Hall '-R 3 2"'
loop_
_atom_site_label
_atom_site_fract_x
_atom_site_fract_y
_atom_site_fract_z
_atom_site_occupancy
Nd1 0.0000 0.0000 0.1356 1
In1 0.0000 0.0000 0.0000 1
Cu1 0.0000 0.0000 0.3329 1
Cu2 0.0000 0.0000 0.5000 1
Cu3 0.0010 0.5005 0.9199 1
# Calculated formation energy ... -0.06 eV/atom
# Density ... 8.3 g/cm³

=====

# Y2MgTc2 (PBE-GGA, optimized geometry)
data_Y2MgTc2
_chemical_formula_sum 'Y4 Mg2 Tc4'
_cell_length_a 7.164
_cell_length_b 7.164
_cell_length_c 4.398
_cell_angle_alpha 90.00
_cell_angle_beta 90.00
_cell_angle_gamma 90.00
_symmetry_space_group_name_H-M 'P 4/m b m'
_symmetry_Int_Tables_number 127
_symmetry_space_group_name_Hall '-P 4 2ab'
loop_
_atom_site_label
_atom_site_fract_x
_atom_site_fract_y
_atom_site_fract_z
_atom_site_occupancy
Y1 0.177 0.323 0.000 1
Mg1 0.000 0.000 0.500 1
Tc1 0.114 0.614 0.500 1
# Calculated formation energy ... 0.05 eV/atom
# Density ... 5.9 g/cm³

=====

# KMg3Ag4Cl12 (PBE-GGA, optimized geometry)
data_KMg3Ag4Cl12
_chemical_formula_sum 'K3 Mg9 Ag12 Cl36'
_cell_length_a 13.9945
_cell_length_b 13.9945
_cell_length_c 9.5771
_cell_angle_alpha 90.00
_cell_angle_beta 90.00
_cell_angle_gamma 120.00
_symmetry_space_group_name_H-M 'R 3 2'
_symmetry_Int_Tables_number 155
_symmetry_space_group_name_Hall 'R 3 2"'
loop_
_atom_site_label
_atom_site_fract_x
_atom_site_fract_y
_atom_site_fract_z
_atom_site_occupancy
K1 0.0000 0.0000 0.0000 1
Mg1 0.0000 0.5844 0.0000 1
Ag1 0.0000 0.0000 0.5000 1
Ag2 0.0000 0.3861 0.5000 1
Cl1 0.0000 0.5847 0.5000 1
Cl2 0.0000 0.8209 0.5000 1
Cl3 0.0716 0.2132 0.1990 1
# Uncorrected formation energy ... -1.1668 eV per atom
# Density ... 3.0 g/cm³

=====

# La4OsCCl2 (PBE-GGA, optimized geometry)
data_La4OsCCl2
_chemical_formula_sum 'La4 Os1 C1 Cl2'
_cell_length_a 6.994
_cell_length_b 4.066
_cell_length_c 7.772
_cell_angle_alpha 90.00
_cell_angle_beta 106.10
_cell_angle_gamma 90.00
_symmetry_space_group_name_H-M 'P 1 2/m 1'
_symmetry_Int_Tables_number 10
loop_
_symmetry_equiv_pos_as_xyz
'x,y,z'
'-x,-y,-z'
'-x,y,-z'
'x,-y,z'
loop_
_atom_site_label
_atom_site_fract_x
_atom_site_fract_y
_atom_site_fract_z
_atom_site_occupancy
La1 0.228 0.000 0.189 1
La2 0.241 0.500 0.798 1
Os1 0.500 0.000 0.000 1
C1 0.000 0.500 0.000 1
Cl1 0.000 0.000 0.500 1
Cl2 0.500 0.500 0.500 1
# Uncorrected formation energy ... -0.9529 eV per atom
# Density ... 6.5 g/cm³

=====

# Sm2YAl2 (PBE-GGA, optimized geometry)
data_Sm2YAl2
_chemical_formula_sum 'Sm4 Y2 Al4'
_cell_length_a 6.239
_cell_length_b 3.653
_cell_length_c 12.692
_cell_angle_alpha 90.00
_cell_angle_beta 96.70
_cell_angle_gamma 90.00
_symmetry_space_group_name_H-M 'P 1 21/m 1'
_symmetry_Int_Tables_number 11
loop_
_symmetry_equiv_pos_as_xyz
'x,y,z'
'-x,-y,-z'
'-x,y+1/2,-z'
'x,-y+1/2,z'
loop_
_atom_site_label
_atom_site_fract_x
_atom_site_fract_y
_atom_site_fract_z
_atom_site_occupancy
Sm1 0.067 0.250 0.358 1
Sm2 0.225 0.750 0.928 1
Y1 0.463 0.250 0.711 1
Al1 0.286 0.250 0.127 1
Al2 0.345 0.750 0.515 1
# Calculated formation energy ... -0.16 eV/atom
# Density ... 5.1 g/cm³

=====

# Tb2Er2Sc (PBE-GGA, optimized geometry)
data_Tb2Er2Sc
_chemical_formula_sum 'Tb4 Er4 Sc2'
_cell_length_a 9.022
_cell_length_b 9.022
_cell_length_c 3.709
_cell_angle_alpha 90.00
_cell_angle_beta 90.00
_cell_angle_gamma 90.00
_symmetry_space_group_name_H-M 'P 4/m b m'
_symmetry_Int_Tables_number 127
_symmetry_space_group_name_Hall '-P 4 2ab'
loop_
_atom_site_label
_atom_site_fract_x
_atom_site_fract_y
_atom_site_fract_z
_atom_site_occupancy
Tb1 0.132 0.368 0.000 1
Er1 0.168 0.668 0.500 1
Sc1 0.000 0.000 0.000 1
# Calculated formation energy ... 0.17 eV/atom
# Density ... 7.7 g/cm³

=====

# SrScBi2 (PBE-GGA, optimized geometry)
data_SrScBi2
_chemical_formula_sum 'Sr8 Sc8 Bi16'
_cell_length_a 6.638
_cell_length_b 23.931
_cell_length_c 6.661
_cell_angle_alpha 90.00
_cell_angle_beta 90.00
_cell_angle_gamma 90.00
_symmetry_space_group_name_H-M 'F m m 2'
_symmetry_Int_Tables_number 42
_symmetry_space_group_name_Hall 'F 2 -2'
loop_
_atom_site_label
_atom_site_fract_x
_atom_site_fract_y
_atom_site_fract_z
_atom_site_occupancy
Sr1 0.000 0.110 0.000 1
Sc1 0.250 0.250 0.250 1
Bi1 0.000 0.170 0.500 1
Bi2 0.237 0.000 0.742 1
# Calculated formation energy ... -0.62 eV/atom
# Density ... 6.9 g/cm³

=====

Question: Among the records above, which one has the lowest density?
Answer: KMg3Ag4Cl12